# HgB (PBE-GGA, relaxed)
# Symmetry: No. 166
# E above lowest polymorph: 22 meV/atom
data_HgB
_cell_length_a 3.6775
_cell_length_b 3.6775
_cell_length_c 3.6775
_cell_angle_alpha 54.66
_cell_angle_beta 54.66
_cell_angle_gamma 54.66
_space_group_name_H-M_alt 'P 1'
_space_group_IT_number 1
loop_
_space_group_symop_operation_xyz
'x,y,z'
loop_
_atom_site_label
_atom_site_type_symbol
_atom_site_fract_x
_atom_site_fract_y
_atom_site_fract_z
B1 B 0.0000 0.0000 0.0000
Hg1 Hg 0.5000 0.5000 0.5000

---

# CuNiMoPb (PBE-GGA, relaxed)
# M_tot: 2.03 μB per formula unit
# Symmetry: No. 216
# E above lowest polymorph: 0 meV/atom
data_CuNiMoPb
_cell_length_a 4.4725
_cell_length_b 4.4725
_cell_length_c 4.4725
_cell_angle_alpha 60.00
_cell_angle_beta 60.00
_cell_angle_gamma 60.00
_space_group_name_H-M_alt 'P 1'
_space_group_IT_number 1
loop_
_space_group_symop_operation_xyz
'x,y,z'
loop_
_atom_site_label
_atom_site_type_symbol
_atom_site_fract_x
_atom_site_fract_y
_atom_site_fract_z
Pb1 Pb 0.0000 0.0000 0.0000
Mo1 Mo 0.5000 0.5000 0.5000
Ni1 Ni 0.2500 0.2500 0.2500
Cu1 Cu 0.7500 0.7500 0.7500

---

# HfSb2Mo2 (PBE-GGA, relaxed)
# M_tot: 0.01 μB per formula unit
# Symmetry: No. 139
# Energy: -7.489 eV per atom
data_HfSb2Mo2
_cell_length_a 6.1978
_cell_length_b 6.1978
_cell_length_c 6.1978
_cell_angle_alpha 137.11
_cell_angle_beta 137.11
_cell_angle_gamma 62.27
_space_group_name_H-M_alt 'P 1'
_space_group_IT_number 1
loop_
_space_group_symop_operation_xyz
'x,y,z'
loop_
_atom_site_label
_atom_site_type_symbol
_atom_site_fract_x
_atom_site_fract_y
_atom_site_fract_z
Sb1 Sb 0.3728 0.3728 0.0000
Sb2 Sb 0.6272 0.6272 0.0000
Mo1 Mo 0.7500 0.2500 0.5000
Mo2 Mo 0.2500 0.7500 0.5000
Hf1 Hf 0.0000 0.0000 0.0000

---

# K2NiGeBr6 (PBE-GGA, relaxed)
# M_tot: 1.58 μB per formula unit
# Symmetry: No. 225
# Energy: -3.162 eV per atom
data_K2NiGeBr6
_cell_length_a 7.4774
_cell_length_b 7.4774
_cell_length_c 7.4774
_cell_angle_alpha 60.00
_cell_angle_beta 60.00
_cell_angle_gamma 60.00
_space_group_name_H-M_alt 'P 1'
_space_group_IT_number 1
loop_
_space_group_symop_operation_xyz
'x,y,z'
loop_
_atom_site_label
_atom_site_type_symbol
_atom_site_fract_x
_atom_site_fract_y
_atom_site_fract_z
Br1 Br 0.7417 0.2583 0.7417
Br2 Br 0.2583 0.7417 0.7417
Br3 Br 0.2583 0.7417 0.2583
Br4 Br 0.2583 0.2583 0.7417
Br5 Br 0.7417 0.7417 0.2583
Br6 Br 0.7417 0.2583 0.2583
K1 K 0.7500 0.7500 0.7500
K2 K 0.2500 0.2500 0.2500
Ge1 Ge 0.0000 0.0000 0.0000
Ni1 Ni 0.5000 0.5000 0.5000

---

# BeAlGeIr (PBE-GGA, relaxed)
# M_tot: 0.00 μB per formula unit
# Symmetry: No. 216
# E above lowest polymorph: 0 meV/atom
data_BeAlGeIr
_cell_length_a 4.2654
_cell_length_b 4.2654
_cell_length_c 4.2654
_cell_angle_alpha 60.00
_cell_angle_beta 60.00
_cell_angle_gamma 60.00
_space_group_name_H-M_alt 'P 1'
_space_group_IT_number 1
loop_
_space_group_symop_operation_xyz
'x,y,z'
loop_
_atom_site_label
_atom_site_type_symbol
_atom_site_fract_x
_atom_site_fract_y
_atom_site_fract_z
Ge1 Ge 0.5000 0.5000 0.5000
Al1 Al 0.0000 0.0000 0.0000
Be1 Be 0.7500 0.7500 0.7500
Ir1 Ir 0.2500 0.2500 0.2500

---

# LaInHg2 (PBE-GGA, relaxed)
# M_tot: 0.00 μB per formula unit
# Symmetry: No. 59
# E above lowest polymorph: 0 meV/atom
data_LaInHg2
_cell_length_a 5.2663
_cell_length_b 7.5725
_cell_length_c 5.2659
_cell_angle_alpha 90.00
_cell_angle_beta 90.00
_cell_angle_gamma 90.00
_space_group_name_H-M_alt 'P 1'
_space_group_IT_number 1
loop_
_space_group_symop_operation_xyz
'x,y,z'
loop_
_atom_site_label
_atom_site_type_symbol
_atom_site_fract_x
_atom_site_fract_y
_atom_site_fract_z
Hg1 Hg 0.0000 0.2500 0.2483
Hg2 Hg 0.0000 0.7500 0.2483
Hg3 Hg 0.5000 0.7500 0.7517
Hg4 Hg 0.5000 0.2500 0.7517
La1 La 0.5000 0.5000 0.2522
La2 La 0.0000 0.0000 0.7478
In1 In 0.0000 0.5000 0.7496
In2 In 0.5000 0.0000 0.2504

---

# Tb2ScS3 (PBE-GGA, relaxed)
# M_tot: 0.00 μB per formula unit
# Symmetry: No. 164
# Energy: -6.615 eV per atom
data_Tb2ScS3
_cell_length_a 3.8404
_cell_length_b 3.8404
_cell_length_c 9.4423
_cell_angle_alpha 90.00
_cell_angle_beta 90.00
_cell_angle_gamma 120.00
_space_group_name_H-M_alt 'P 1'
_space_group_IT_number 1
loop_
_space_group_symop_operation_xyz
'x,y,z'
loop_
_atom_site_label
_atom_site_type_symbol
_atom_site_fract_x
_atom_site_fract_y
_atom_site_fract_z
Sc1 Sc 0.0000 0.0000 0.5000
S1 S 0.6667 0.3333 0.3487
S2 S 0.3333 0.6667 0.6513
S3 S 0.0000 0.0000 0.0000
Tb1 Tb 0.6667 0.3333 0.8269
Tb2 Tb 0.3333 0.6667 0.1731

---

# LuCuSnSe3 (PBE-GGA, relaxed)
# M_tot: 0.00 μB per formula unit
# Symmetry: No. 62
# E above lowest polymorph: 57 meV/atom
data_LuCuSnSe3
_cell_length_a 4.1334
_cell_length_b 11.3255
_cell_length_c 11.6643
_cell_angle_alpha 90.00
_cell_angle_beta 90.00
_cell_angle_gamma 90.00
_space_group_name_H-M_alt 'P 1'
_space_group_IT_number 1
loop_
_space_group_symop_operation_xyz
'x,y,z'
loop_
_atom_site_label
_atom_site_type_symbol
_atom_site_fract_x
_atom_site_fract_y
_atom_site_fract_z
Lu1 Lu 0.2500 0.9820 0.3129
Lu2 Lu 0.7500 0.0180 0.6871
Lu3 Lu 0.7500 0.5180 0.8129
Lu4 Lu 0.2500 0.4820 0.1871
Se1 Se 0.7500 0.2713 0.6857
Se2 Se 0.7500 0.9660 0.1406
Se3 Se 0.2500 0.7287 0.3143
Se4 Se 0.2500 0.9046 0.5640
Se5 Se 0.7500 0.7713 0.8143
Se6 Se 0.7500 0.0954 0.4360
Se7 Se 0.2500 0.2287 0.1857
Se8 Se 0.2500 0.0340 0.8594
Se9 Se 0.7500 0.4660 0.3594
Se10 Se 0.2500 0.5340 0.6406
Se11 Se 0.2500 0.4046 0.9360
Se12 Se 0.7500 0.5954 0.0640
Sn1 Sn 0.2500 0.3125 0.4942
Sn2 Sn 0.7500 0.1875 0.9942
Sn3 Sn 0.2500 0.8125 0.0058
Sn4 Sn 0.7500 0.6875 0.5058
Cu1 Cu 0.2500 0.2408 0.8011
Cu2 Cu 0.2500 0.7408 0.6989
Cu3 Cu 0.7500 0.2592 0.3011
Cu4 Cu 0.7500 0.7592 0.1989